The following is a DFT calculation (PBE) of an optimized crystal structure of CaPm2Cd.

Properties
The formation enthalpy at 0 K comes out at -0.374 eV/f.u. The calculation puts the uncorrected energy at -12.79 eV per cell. Its density of states at the Fermi level is 4.8 states/eV/cell. The distance to the lowest polymorph of the same formula is 0.2 kJ/mol of atoms.

abc: 3.861 3.861 8.883
angles: 90.00 90.00 90.00
Sites, in units of the cell vectors:
Ca1 0.000 0.000 0.000
Pm1 0.500 0.500 0.295
Pm2 0.500 0.500 0.705
Cd1 0.000 0.000 0.500